Below is crystalline CsCuHg2I at its relaxed geometry, with properties calculated at the PBE level.

The space group is P4/mmm (No. 123) and the conventional cell measures 7.7638, 7.7638 and 7.1629 Å, with angles of 90.00, 90.00 and 90.00 degrees. The inequivalent atoms are Cs at (0.0000, 0.0000, 0.0000), Cu at (0.5000, 0.5000, 0.0000), Hg at (0.0000, 0.5000, 0.5000) and I at (0.0000, 0.0000, 0.5000).

As for the final energy: -5.756 eV/cell. The value obtained for the uncorrected formation energy is 1.35 eV/f.u. For the volume, the calculation gives 432 Å³/f.u. The calculation puts the density of states at the Fermi level at 0.000 states/eV/atom.

=====

Below is crystalline CsSnSeBr2 at its relaxed geometry, with properties calculated at the PBE level.

The space group is P4/mmm (No. 123) and the conventional cell measures 6.3350, 6.3350 and 5.7885 Å, with angles of 90.00, 90.00 and 90.00 degrees. The inequivalent atoms are Cs at (0.0000, 0.0000, 0.0000), Sn at (0.5000, 0.5000, 0.5000), Se at (0.0000, 0.0000, 0.5000) and Br at (0.0000, 0.5000, 0.0000).

As for the final energy: -10.748 eV/cell. The value obtained for the uncorrected formation energy is 0.94 eV/f.u. For the volume, the calculation gives 232 Å³/f.u. The calculation puts the density of states at the Fermi level at 0.695 states/eV/atom.

=====

Below is crystalline ScTlHg2 at its relaxed geometry, with properties calculated at the PBE level.

The space group is I4/mmm (No. 139) and the conventional cell measures 4.4733, 4.4733 and 9.3937 Å, with angles of 90.00, 90.00 and 90.00 degrees. The inequivalent atoms are Sc at (0.0000, 0.0000, 0.0000), Tl at (0.0000, 0.0000, 0.5000) and Hg at (0.0000, 0.5000, 0.2500).

As for the final energy: -19.680 eV/cell. For the volume, the calculation gives 94 Å³/f.u. The calculation puts the density of states at the Fermi level at 0.855 states/eV/atom.

=====

Below is crystalline TlTe2Au at its relaxed geometry, with properties calculated at the PBE level.

The space group is I4/mmm (No. 139) and the conventional cell measures 4.2680, 4.2680 and 13.6448 Å, with angles of 90.00, 90.00 and 90.00 degrees. The inequivalent atoms are Tl at (0.0000, 0.0000, 0.0000), Te at (0.0000, 0.5000, 0.2500) and Au at (0.0000, 0.0000, 0.5000).

As for the final energy: -22.629 eV/cell. The value obtained for the uncorrected formation energy is 0.61 eV/f.u. For the volume, the calculation gives 124 Å³/f.u. The calculation puts the density of states at the Fermi level at 0.657 states/eV/atom.

=====

Q: Among the records above, which one has the lowest volume?
A: ScTlHg2

=====

Q: final energy of number 4 (TlTe2Au)?
A: -22.629 eV/cell

=====

Q: Among the records above, which one has the highest volume?
A: CsCuHg2I

=====

Q: Which value of final energy does entry 1 give?
A: -5.756 eV/cell